(1)
The following is a DFT calculation (PBE) of an optimized crystal structure of LiCa2Ni.

Cell and atoms, written as POSCAR:
```
LiCa2Ni
1.0
-6.221 -0.509 -1.340
-4.515 -2.096 -3.997
-1.995 -4.452 1.379
Ca Ni Li
2 1 1
Direct
0.946 0.946 0.054 Ca
0.746 0.746 0.754 Ca
0.239 0.239 0.261 Ni
0.569 0.569 0.431 Li
```

Properties
- Calculated volume: 100.1 Å³ per cell
- Energy: -2.8721 eV per atom
- Formation enthalpy at 0 K: 52 meV/atom

=====

(2)
The following is a DFT calculation (PBE) of an optimized crystal structure of NdDyErAl.

Cell and atoms, written as POSCAR:
```
NdDyErAl
1.0
3.527 0.000 0.000
0.000 3.527 0.000
0.000 0.000 9.081
Nd Al Dy Er
1 1 1 1
Direct
0.000 0.000 0.073 Nd
0.000 0.000 0.569 Al
0.500 0.500 0.780 Dy
0.500 0.500 0.362 Er
```

Properties
- Calculated volume: 113.0 Å³ per cell
- Energy: -4.6147 eV per atom
- Formation enthalpy at 0 K: -196 meV/atom

=====

(3)
The following is a DFT calculation (PBE) of an optimized crystal structure of TbCe2Si2.

Cell and atoms, written as POSCAR:
```
TbCe2Si2
1.0
-3.461 -2.357 0.932
1.591 -4.616 -5.764
4.170 -4.305 4.598
Tb Ce Si
2 4 4
Direct
0.000 0.500 0.500 Tb
0.000 0.000 0.000 Tb
0.500 0.178 0.678 Ce
0.500 0.322 0.178 Ce
0.500 0.678 0.822 Ce
0.500 0.822 0.322 Ce
0.000 0.615 0.115 Si
0.000 0.115 0.385 Si
0.000 0.385 0.885 Si
0.000 0.885 0.615 Si
```

Properties
- Calculated volume: 244.8 Å³ per cell
- Formation energy without anion corrections: -608 meV per atom
- Energy: -6.0767 eV per atom

=====

(4)
The following is a DFT calculation (PBE) of an optimized crystal structure of CeThHgOs.

Cell and atoms, written as POSCAR:
```
CeThHgOs
1.0
4.152 -0.001 0.000
-2.076 3.597 0.000
-2.075 -1.198 7.613
Ce Hg Os Th
1 1 1 1
Direct
0.100 0.948 0.064 Ce
0.965 0.381 0.360 Hg
0.305 0.551 0.871 Os
0.508 0.152 0.675 Th
```

Properties
- Calculated volume: 113.7 Å³ per cell
- Energy: -6.4916 eV per atom
- Formation enthalpy at 0 K: -270 meV/atom

=====

(5)
The following is a DFT calculation (PBE) of an optimized crystal structure of RbIBrO2.

Cell and atoms, written as POSCAR:
```
RbIBrO2
1.0
-4.482 -2.025 -1.052
0.105 -2.500 4.363
-3.587 6.083 3.572
Br O Rb I
1 2 1 1
Direct
0.500 0.500 0.500 Br
0.000 0.500 0.000 O
0.500 0.000 0.000 O
0.000 0.000 0.000 Rb
0.000 0.000 0.500 I
```

Properties
- Calculated volume: 200.2 Å³ per cell
- Formation energy without anion corrections: 606 meV per atom
- Energy: -2.2151 eV per atom

=====

(6)
The following is a DFT calculation (PBE) of an optimized crystal structure of NdZnHg.

Cell and atoms, written as POSCAR:
```
NdZnHg
1.0
-1.507 0.903 3.042
-2.210 -2.716 -0.288
5.607 -2.445 1.475
Hg Nd Zn
1 1 1
Direct
0.635 0.635 0.269 Hg
0.944 0.944 0.888 Nd
0.271 0.271 0.542 Zn
```

Properties
- Calculated volume: 71.4 Å³ per cell
- Energy: -2.3701 eV per atom
- Formation enthalpy at 0 K: -256 meV/atom

=====

Q: calculated volume of number 5 (RbIBrO2)?
A: 200.2 Å³ per cell

=====

Copy entry 6 word for word.
The following is a DFT calculation (PBE) of an optimized crystal structure of NdZnHg.

Cell and atoms, written as POSCAR:
```
NdZnHg
1.0
-1.507 0.903 3.042
-2.210 -2.716 -0.288
5.607 -2.445 1.475
Hg Nd Zn
1 1 1
Direct
0.635 0.635 0.269 Hg
0.944 0.944 0.888 Nd
0.271 0.271 0.542 Zn
```

Properties
- Calculated volume: 71.4 Å³ per cell
- Energy: -2.3701 eV per atom
- Formation enthalpy at 0 K: -256 meV/atom